# 1
Material: Dy8P3HSe4
Method: DFT, GGA-PBE
State: relaxed

## Properties
* crystal system: trigonal
* E_tot: -5.956 eV per atom
* V: 363.81 Å³/cell
* total moment: 0.00 μB/f.u.

a b c (Å): 7.958 8.070 7.957
angles (deg): 119.54 120.00 90.00
Positions (direct):
Dy 0.246 0.732 0.986
Dy 0.246 0.732 0.493
Dy 0.258 0.273 0.515
Dy 0.739 0.732 0.986
Dy 0.261 0.268 0.014
Dy 0.742 0.727 0.485
Dy 0.754 0.268 0.507
Dy 0.754 0.268 0.014
P 0.500 0.500 0.000
P 0.500 0.500 0.500
P 0.000 0.500 0.500
H 0.000 0.500 0.000
Se 0.500 0.000 0.000
Se 0.500 0.000 0.500
Se 0.000 0.000 0.000
Se 0.000 0.000 0.500

# 2
Material: PuPb3
Method: DFT, GGA-PBE
State: relaxed

## Properties
* crystal system: tetragonal
* V: 115.72 Å³/cell
* formation enthalpy at 0 K: -82.8 meV/atom
* total moment: 5.89 μB/f.u.

a b c (Å): 4.728 4.728 6.162
angles (deg): 112.56 112.56 90.00
Each line ends with the local moment (μB).
Positions (direct):
Pb 0.750 0.250 0.500  0.01
Pb 0.250 0.750 0.500  0.01
Pb 0.500 0.500 0.000  0.02
Pu 0.000 0.000 0.000  5.49